Record 1
DFT (PBE) results for GaBMo2I after structural relaxation.

The structure in CIF format:
```
data_GaBMo2I
_cell_length_a 5.0115
_cell_length_b 5.0115
_cell_length_c 4.3091
_cell_angle_alpha 90.00
_cell_angle_beta 90.00
_cell_angle_gamma 90.00
_space_group_name_H-M_alt 'P 1'
_space_group_IT_number 1
_space_group_name_Hall 'P 1'
loop_
_atom_site_label
_atom_site_type_symbol
_atom_site_fract_x
_atom_site_fract_y
_atom_site_fract_z
Ga1 Ga 0.0000 0.0000 0.0000
B1 B 0.5000 0.5000 0.0000
Mo1 Mo 0.0000 0.5000 0.5000
Mo2 Mo 0.5000 0.0000 0.5000
I1 I 0.5000 0.5000 0.5000
```

Its total magnetization is 2.8 μB/cell. Its energy relative to the elements, uncorrected is 2302 meV per atom. As for the crystal system: tetragonal.

Record 2
DFT (PBE) results for Pa4NiH3Rh12 after structural relaxation.

The structure in CIF format:
```
data_Pa4NiH3Rh12
_cell_length_a 7.2503
_cell_length_b 7.2503
_cell_length_c 7.2503
_cell_angle_alpha 109.47
_cell_angle_beta 109.47
_cell_angle_gamma 109.47
_space_group_name_H-M_alt 'P 1'
_space_group_IT_number 1
_space_group_name_Hall 'P 1'
loop_
_atom_site_label
_atom_site_type_symbol
_atom_site_fract_x
_atom_site_fract_y
_atom_site_fract_z
Pa1 Pa 0.0000 0.0000 0.5000
Pa2 Pa 0.0000 0.5000 0.0000
Pa3 Pa 0.5000 0.0000 0.0000
Pa4 Pa 0.5000 0.5000 0.5000
Ni1 Ni 0.0000 0.0000 0.0000
H1 H 0.0000 0.5000 0.5000
H2 H 0.5000 0.0000 0.5000
H3 H 0.5000 0.5000 0.0000
Rh1 Rh 0.0000 0.2802 0.2802
Rh2 Rh 0.0000 0.7198 0.7198
Rh3 Rh 0.2500 0.5000 0.7500
Rh4 Rh 0.2500 0.7500 0.5000
Rh5 Rh 0.2802 0.0000 0.2802
Rh6 Rh 0.2802 0.2802 0.0000
Rh7 Rh 0.5000 0.2500 0.7500
Rh8 Rh 0.5000 0.7500 0.2500
Rh9 Rh 0.7198 0.0000 0.7198
Rh10 Rh 0.7198 0.7198 0.0000
Rh11 Rh 0.7500 0.2500 0.5000
Rh12 Rh 0.7500 0.5000 0.2500
```

Its total magnetization is 1.5 μB/cell. The value obtained for the total energy is -154.05 eV/cell. As for the crystal system: cubic.

Record 3
DFT (PBE) results for CePm2Bi3 after structural relaxation.

The structure in CIF format:
```
data_CePm2Bi3
_cell_length_a 7.9472
_cell_length_b 7.9472
_cell_length_c 7.9472
_cell_angle_alpha 146.52
_cell_angle_beta 131.89
_cell_angle_gamma 59.89
_space_group_name_H-M_alt 'P 1'
_space_group_IT_number 1
_space_group_name_Hall 'P 1'
loop_
_atom_site_label
_atom_site_type_symbol
_atom_site_fract_x
_atom_site_fract_y
_atom_site_fract_z
Ce1 Ce 0.0000 0.0000 0.0000
Pm1 Pm 0.3332 0.3332 0.0000
Pm2 Pm 0.6668 0.6668 0.0000
Bi1 Bi 0.1660 0.6660 0.5000
Bi2 Bi 0.5000 0.0000 0.5000
Bi3 Bi 0.8340 0.3340 0.5000
```

Its total magnetization is 0.8 μB/cell. As for the formation energy: -894 meV per atom. As for the crystal system: orthorhombic.

Record 4
DFT (PBE) results for Zr4Ru after structural relaxation.

The structure in CIF format:
```
data_Zr4Ru
_cell_length_a 7.1650
_cell_length_b 6.2619
_cell_length_c 8.5028
_cell_angle_alpha 55.59
_cell_angle_beta 46.14
_cell_angle_gamma 78.26
_space_group_name_H-M_alt 'P 1'
_space_group_IT_number 1
_space_group_name_Hall 'P 1'
loop_
_atom_site_label
_atom_site_type_symbol
_atom_site_fract_x
_atom_site_fract_y
_atom_site_fract_z
Zr1 Zr 0.0329 0.9671 0.1879
Zr2 Zr 0.0362 0.4974 0.8444
Zr3 Zr 0.0621 0.4379 0.2171
Zr4 Zr 0.4056 0.6280 0.2138
Zr5 Zr 0.4379 0.0621 0.2829
Zr6 Zr 0.4974 0.0362 0.6220
Zr7 Zr 0.6280 0.4056 0.7526
Zr8 Zr 0.9671 0.0329 0.8121
Ru1 Ru 0.6004 0.6004 0.3996
Ru2 Ru 0.8504 0.8504 0.6496
```

Its total magnetization is 0.0 μB/cell. The calculation puts the energy relative to the lowest polymorph listed for this composition at 0.166 eV per atom. As for the formation energy: -89 meV per atom. As for the crystal system: orthorhombic.